# LaIn3Ir, relaxed, DFT PBE
data_LaIn3Ir
_chemical_formula_sum 'La1 In3 Ir1'
_cell_length_a 5.150
_cell_length_b 5.150
_cell_length_c 5.150
_cell_angle_alpha 90.00
_cell_angle_beta 90.00
_cell_angle_gamma 90.00
_space_group_name_H-M_alt 'P m -3 m'
_space_group_IT_number 221
_space_group_name_Hall '-P 4 2 3'
loop_
_atom_site_label
_atom_site_fract_x
_atom_site_fract_y
_atom_site_fract_z
_atom_site_occupancy
La1 0.000 0.000 0.000 1
In1 0.000 0.500 0.500 1
Ir1 0.500 0.500 0.500 1
# DFT formation energy: -205 meV/atom
# final energy: -4.606 eV per atom
# E above lowest polymorph: 0.254 eV per atom


# YVAs2Ir, relaxed, DFT PBE
data_YVAs2Ir
_chemical_formula_sum 'Y1 V1 As2 Ir1'
_cell_length_a 4.684
_cell_length_b 4.684
_cell_length_c 4.710
_cell_angle_alpha 90.00
_cell_angle_beta 90.00
_cell_angle_gamma 90.00
_space_group_name_H-M_alt 'P 4/m m m'
_space_group_IT_number 123
_space_group_name_Hall '-P 4 2'
loop_
_atom_site_label
_atom_site_fract_x
_atom_site_fract_y
_atom_site_fract_z
_atom_site_occupancy
Y1 0.000 0.000 0.000 1
V1 0.500 0.500 0.500 1
As1 0.000 0.500 0.500 1
Ir1 0.500 0.500 0.000 1
# DFT formation energy: -117 meV/atom
# final energy: -6.866 eV per atom


# BeAg2AsOs, relaxed, DFT PBE
data_BeAg2AsOs
_chemical_formula_sum 'Be1 Ag2 As1 Os1'
_cell_length_a 5.196
_cell_length_b 5.196
_cell_length_c 4.554
_cell_angle_alpha 90.00
_cell_angle_beta 90.00
_cell_angle_gamma 90.00
_space_group_name_H-M_alt 'P 4/m m m'
_space_group_IT_number 123
_space_group_name_Hall '-P 4 2'
loop_
_atom_site_label
_atom_site_fract_x
_atom_site_fract_y
_atom_site_fract_z
_atom_site_occupancy
Be1 0.000 0.000 0.000 1
Ag1 0.000 0.500 0.500 1
As1 0.500 0.500 0.000 1
Os1 0.500 0.500 0.500 1
# DFT formation energy: 1293 meV/atom
# final energy: -3.769 eV per atom


- DFT formation energy of number 1 (LaIn3Ir)?
  -205 meV/atom


- The lowest DFT formation energy belongs to which entry?
  LaIn3Ir